Record 1
DFT (PBE-GGA) results for an optimized crystal structure of CdCu2O2.

Calculated values
E_form (uncorrected) ... -361 meV/atom
Space-group type ... I4/mmm, No. 139
Polymorph energy (0 for the lowest one) ... 232 meV/atom
Mass density ... 6912 kg/m³

extended XYZ file:
```
5
Lattice="2.847 0.000 0.000 0.000 2.847 0.000 -1.424 -1.424 8.046" Properties=species:S:1:pos:R:3 pbc="T T T"
Cd 0.000 0.000 0.000
Cu 1.424 1.424 2.733
Cu 0.000 0.000 5.314
O 1.424 1.424 5.471
O 0.000 0.000 2.576
```

---

Record 2
DFT (PBE-GGA) results for an optimized crystal structure of CdCuO3.

Calculated values
E_form (uncorrected) ... -277 meV/atom
Space-group type ... Pm-3m, No. 221
Mass density ... 7031 kg/m³

extended XYZ file:
```
5
Lattice="-3.677 -0.473 -0.586 -0.492 -0.706 3.654 -0.570 3.656 0.629" Properties=species:S:1:pos:R:3 pbc="T T T"
O -0.246 -0.353 1.827
O -0.285 1.828 0.315
O -1.839 -0.236 -0.293
Cu 0.000 0.000 0.000
Cd -2.370 1.239 1.848
```

---

Record 3
DFT (PBE-GGA) results for an optimized crystal structure of Cd2CuOsO6.

Calculated values
E_form (uncorrected) ... -881 meV/atom
Space-group type ... P2_1/c, No. 14
Mass density ... 7482 kg/m³

extended XYZ file:
```
20
Lattice="5.081 0.000 -0.108 0.000 5.260 0.000 -0.126 0.000 9.546" Properties=species:S:1:pos:R:3 pbc="T T T"
Cd 0.100 5.127 2.420
Cd 2.577 2.764 7.140
Cd 4.854 0.134 7.018
Cd 2.377 2.497 2.299
Cu 2.540 0.000 -0.054
Cu -0.063 2.630 4.773
Os 2.477 0.000 4.719
Os 0.000 2.630 0.000
O 1.477 3.761 0.371
O 3.954 4.129 5.090
O 3.478 1.499 9.067
O 1.000 1.131 4.348
O 1.430 3.820 3.827
O 3.907 4.071 8.546
O 3.524 1.441 5.611
O 1.047 1.189 0.892
O 4.347 3.160 1.582
O 1.744 4.730 6.409
O 0.607 2.100 7.856
O 3.211 0.530 3.030
```